# 1
{
  "formula": "KBeCd3",
  "functional": "GGA-PBE",
  "state": "optimized geometry",
  "cell": [[-6.302, -1.819, 0.330], [1.661, -5.057, 3.846], [-0.811, 3.774, 5.313]],
  "species": ["Be", "K", "Cd", "Cd", "Cd"],
  "frac_coords": [[0.500, 0.500, 0.500], [0.000, 0.000, 0.000], [0.000, 0.500, 0.000], [0.000, 0.000, 0.500], [0.500, 0.000, 0.000]],
  "dos_at_fermi_per_ev_cell": 3.75,
  "energy_ev_per_atom": -0.404,
  "space_group": "Pm-3m"
}


# 2
{
  "formula": "Re2Ni2Pd",
  "functional": "GGA-PBE",
  "state": "optimized geometry",
  "cell": [[-6.532, 2.196, 1.927], [-2.627, -2.351, -6.227], [-0.476, -2.380, 1.099]],
  "species": ["Re", "Re", "Re", "Re", "Pd", "Pd", "Ni", "Ni", "Ni", "Ni"],
  "frac_coords": [[0.176, 0.676, 0.500], [0.676, 0.824, 0.500], [0.824, 0.324, 0.500], [0.324, 0.176, 0.500], [0.000, 0.000, 0.000], [0.500, 0.500, 0.000], [0.381, 0.881, 0.000], [0.881, 0.619, 0.000], [0.619, 0.119, 0.000], [0.119, 0.381, 0.000]],
  "dos_at_fermi_per_ev_cell": 12.05,
  "energy_ev_per_atom": -8.078,
  "space_group": "P4/mbm"
}


# 3
{
  "formula": "CsSnHg3",
  "functional": "GGA-PBE",
  "state": "optimized geometry",
  "cell": [[6.863, 0.171, 0.000], [2.671, 6.324, 0.000], [0.000, 0.000, 7.978]],
  "species": ["Cs", "Cs", "Sn", "Sn", "Hg", "Hg", "Hg", "Hg", "Hg", "Hg"],
  "frac_coords": [[0.040, 0.242, 0.052], [0.521, 0.723, 0.552], [0.908, 0.111, 0.552], [0.653, 0.855, 0.052], [0.166, 0.369, 0.552], [0.394, 0.597, 0.052], [0.547, 0.216, 0.802], [0.547, 0.216, 0.302], [0.014, 0.749, 0.302], [0.014, 0.749, 0.802]],
  "dos_at_fermi_per_ev_cell": 2.94,
  "energy_ev_per_atom": -1.317,
  "space_group": "Cmcm"
}


# 4
{
  "formula": "AcTb2Ag",
  "functional": "GGA-PBE",
  "state": "optimized geometry",
  "cell": [[-1.408, 1.937, 2.948], [-2.186, -1.760, 2.559], [7.303, -2.320, 7.461]],
  "species": ["Ac", "Tb", "Tb", "Ag"],
  "frac_coords": [[0.500, 0.500, 0.499], [0.068, 0.068, 0.796], [0.265, 0.265, 0.204], [0.666, 0.666, 0.001]],
  "dos_at_fermi_per_ev_cell": 5.58,
  "energy_ev_per_atom": -4.018,
  "space_group": "R3m"
}


Number 1: formation energy from the elements 5.55 eV per formula unit. Number 2: formation energy from the elements 1.26 eV per formula unit. Number 3: formation energy from the elements -0.83 eV per formula unit. Number 4: formation energy from the elements 0.15 eV per formula unit.